[1]
TeIr2Pt: relaxed, GGA-PBEsol.

a = 2.9767 Å, b = 2.9767 Å, c = 8.7099 Å
α = 80.16°, β = 80.16°, γ = 60.00°
Element x y z (fractional)
Ir (0.2500, 0.2500, 0.2499)
Ir (0.7500, 0.7500, 0.7501)
Pt (0.5000, 0.5000, 0.5000)
Te (0.0000, 0.0000, 0.0000)

## Properties
density of states at the Fermi level	5.46	states/eV/f.u.
crystal system	trigonal
ΔE_f (raw)	0.551	eV per atom

---

[2]
TeIr2Pt: relaxed, GGA-PBEsol.

a = 2.8955 Å, b = 4.7288 Å, c = 4.7288 Å
α = 90.00°, β = 90.00°, γ = 90.00°
Element x y z (fractional)
Ir (0.0000, 0.0000, 0.5000)
Ir (0.0000, 0.5000, 0.0000)
Pt (0.5000, 0.5000, 0.5000)
Te (0.5000, 0.0000, 0.0000)

## Properties
density of states at the Fermi level	3.57	states/eV/f.u.
crystal system	tetragonal
ΔE_f (raw)	0.445	eV per atom

---

[3]
TeIr2Pt: relaxed, GGA-PBEsol.

a = 2.9436 Å, b = 4.7261 Å, c = 4.7190 Å
α = 90.00°, β = 90.93°, γ = 90.00°
Element x y z (fractional)
Ir (0.7496, 0.0000, 0.7577)
Ir (0.2504, 0.0000, 0.2423)
Pt (0.5000, 0.5000, 0.0000)
Te (0.0000, 0.5000, 0.5000)

## Properties
density of states at the Fermi level	3.34	states/eV/f.u.
crystal system	monoclinic
ΔE_f (raw)	0.463	eV per atom

---

[4]
TeIr2Pt: relaxed, GGA-PBEsol.

a = 3.0389 Å, b = 4.7866 Å, c = 4.8230 Å
α = 101.30°, β = 90.00°, γ = 108.51°
Element x y z (fractional)
Ir (0.0015, 0.0029, 0.0120)
Ir (0.7473, 0.4946, 0.2472)
Pt (0.4970, 0.9940, 0.4844)
Te (0.2542, 0.5084, 0.7564)

## Properties
density of states at the Fermi level	3.88	states/eV/f.u.
crystal system	monoclinic
ΔE_f (raw)	0.403	eV per atom

---

[5]
TlTe2IrPt: relaxed, GGA-PBEsol.

a = 4.9858 Å, b = 5.1734 Å, c = 5.1734 Å
α = 90.00°, β = 90.00°, γ = 90.00°
Element x y z (fractional)
Tl (0.5000, 0.0000, 0.0000)
Ir (0.5000, 0.5000, 0.5000)
Te (0.0000, 0.0000, 0.5000)
Te (0.0000, 0.5000, 0.0000)
Pt (0.0000, 0.0000, 0.0000)

## Properties
density of states at the Fermi level	4.61	states/eV/f.u.
crystal system	tetragonal
ΔE_f (raw)	1.101	eV per atom

---

[6]
TiTlIr2Pt: relaxed, GGA-PBEsol.

a = 4.5248 Å, b = 4.8692 Å, c = 4.8692 Å
α = 90.00°, β = 90.00°, γ = 90.00°
Last column: magnetic moment on the atom in μB.
Element x y z (fractional)
Tl (0.5000, 0.5000, 0.5000)  0.00
Ir (0.0000, 0.0000, 0.5000)  0.63
Ir (0.0000, 0.5000, 0.0000)  0.63
Pt (0.0000, 0.0000, 0.0000)  0.18
Ti (0.5000, 0.0000, 0.0000)  0.15

## Properties
density of states at the Fermi level	7.46	states/eV/f.u.
crystal system	tetragonal
ΔH_f (0 K)	1215	meV per atom